Record 1
Pr3In2Pd6 after structural relaxation. Source: the Alexandria database, functional PBE-GGA.

Cell lengths 8.5204, 8.5204, 8.5204 Å; angles 109.47, 109.47, 109.47 degrees
Fractional positions:
1 Pr 0.0000 0.2900 0.2900
2 Pr 0.0000 0.7100 0.7100
3 Pr 0.2900 0.0000 0.2900
4 Pr 0.2900 0.2900 0.0000
5 Pr 0.7100 0.0000 0.7100
6 Pr 0.7100 0.7100 0.0000
7 In 0.0000 0.0000 0.5000
8 In 0.0000 0.5000 0.0000
9 In 0.5000 0.0000 0.0000
10 In 0.5000 0.5000 0.5000
11 Pd 0.0000 0.3425 0.6575
12 Pd 0.0000 0.6575 0.3425
13 Pd 0.3151 0.6575 0.6575
14 Pd 0.3425 0.0000 0.6575
15 Pd 0.3425 0.3425 0.6849
16 Pd 0.3425 0.6575 0.0000
17 Pd 0.3425 0.6849 0.3425
18 Pd 0.6575 0.0000 0.3425
19 Pd 0.6575 0.3151 0.6575
20 Pd 0.6575 0.3425 0.0000
21 Pd 0.6575 0.6575 0.3151
22 Pd 0.6849 0.3425 0.3425

Summary:
energy relative to the elements = -0.7330 eV/atom
symmetry = Im-3m

=====

Record 2
CsBaSr2Au after structural relaxation. Source: the Alexandria database, functional PBE-GGA.

Cell lengths 6.3850, 6.3850, 6.6471 Å; angles 90.00, 90.00, 90.00 degrees
Fractional positions:
1 Cs 0.0000 0.0000 0.0000
2 Ba 0.5000 0.5000 0.0000
3 Sr 0.0000 0.5000 0.5000
4 Sr 0.5000 0.0000 0.5000
5 Au 0.5000 0.5000 0.5000

Summary:
energy relative to the elements = -0.2659 eV/atom
symmetry = P4/mmm
excess energy over the best structure of this formula in the dataset = 0.0 meV/atom

=====

Record 3
MgMn2HRh after structural relaxation. Source: the Alexandria database, functional PBE-GGA.

Cell lengths 4.0211, 4.0211, 3.8591 Å; angles 90.00, 90.00, 90.00 degrees
Fractional positions:
1 Mg 0.0000 0.0000 0.0000
2 Mn 0.0000 0.5000 0.5000
3 Mn 0.5000 0.0000 0.5000
4 H 0.5000 0.5000 0.5000
5 Rh 0.5000 0.5000 0.0000

Summary:
symmetry = P4/mmm
excess energy over the best structure of this formula in the dataset = 0.0 meV/atom